# 1
# Sc2Al3Tc (PBE, relaxed)
# offset from the most stable computed form = 0.000 eV/atom
# formation energy from the elements = -538 meV/atom
data_Sc2Al3Tc
_chemical_formula_sum 'Sc4 Al6 Tc2'
_cell_length_a 5.3008
_cell_length_b 5.3008
_cell_length_c 8.6970
_cell_angle_alpha 90.00
_cell_angle_beta 90.00
_cell_angle_gamma 120.00
_symmetry_space_group_name_H-M 'P 63/m m c'
_symmetry_Int_Tables_number 194
_symmetry_space_group_name_Hall '-P 6c 2c'
loop_
_atom_site_label
_atom_site_type_symbol
_atom_site_fract_x
_atom_site_fract_y
_atom_site_fract_z
Sc1 Sc 0.3333 0.6667 0.0501
Al1 Al 0.1650 0.3300 0.7500
Tc1 Tc 0.0000 0.0000 0.0000

---

# 2
# KPdCl (PBE, relaxed)
# ΔE_f (raw) = -782 meV per atom
# offset from the most stable computed form = 0.036 eV/atom
data_KPdCl
_chemical_formula_sum 'K4 Pd4 Cl4'
_cell_length_a 11.3021
_cell_length_b 3.7713
_cell_length_c 7.8605
_cell_angle_alpha 90.00
_cell_angle_beta 108.26
_cell_angle_gamma 90.00
_symmetry_space_group_name_H-M 'C 1 m 1'
_symmetry_Int_Tables_number 8
_symmetry_space_group_name_Hall 'C -2y'
loop_
_atom_site_label
_atom_site_type_symbol
_atom_site_fract_x
_atom_site_fract_y
_atom_site_fract_z
K1 K 0.0000 0.0000 0.0000
K2 K 0.1401 0.5000 0.5477
Pd1 Pd 0.3187 0.0000 0.1900
Pd2 Pd 0.3835 0.5000 0.4297
Cl1 Cl 0.2229 0.5000 0.9807
Cl2 Cl 0.3908 0.0000 0.6502

---

# 3
# SrTmAs2Pd5 (PBE, relaxed)
# formation energy from the elements = -594 meV/atom
data_SrTmAs2Pd5
_chemical_formula_sum 'Sr1 Tm1 As2 Pd5'
_cell_length_a 4.7342
_cell_length_b 4.7342
_cell_length_c 8.9933
_cell_angle_alpha 90.00
_cell_angle_beta 90.00
_cell_angle_gamma 90.00
_symmetry_space_group_name_H-M 'P 4/m m m'
_symmetry_Int_Tables_number 123
_symmetry_space_group_name_Hall '-P 4 2'
loop_
_atom_site_label
_atom_site_type_symbol
_atom_site_fract_x
_atom_site_fract_y
_atom_site_fract_z
Sr1 Sr 0.0000 0.0000 0.0000
Tm1 Tm 0.0000 0.0000 0.5000
As1 As 0.5000 0.5000 0.2669
Pd1 Pd 0.0000 0.5000 0.3247
Pd2 Pd 0.5000 0.5000 0.0000

---

# 4
# K2PtAu (PBE, relaxed)
# offset from the most stable computed form = 0.040 eV/atom
# formation energy from the elements = -115 meV/atom
data_K2PtAu
_chemical_formula_sum 'K6 Pt3 Au3'
_cell_length_a 4.8438
_cell_length_b 4.8438
_cell_length_c 16.5827
_cell_angle_alpha 90.00
_cell_angle_beta 90.00
_cell_angle_gamma 120.00
_symmetry_space_group_name_H-M 'R 3 m'
_symmetry_Int_Tables_number 160
_symmetry_space_group_name_Hall 'R 3 -2"'
loop_
_atom_site_label
_atom_site_type_symbol
_atom_site_fract_x
_atom_site_fract_y
_atom_site_fract_z
K1 K 0.0000 0.0000 0.0000
K2 K 0.0000 0.0000 0.2173
Pt1 Pt 0.0000 0.0000 0.7764
Au1 Au 0.0000 0.0000 0.4424

---

# 5
# RbVSeBr2 (PBE, relaxed)
# ΔE_f (raw) = -960 meV per atom
# offset from the most stable computed form = 0.000 eV/atom
data_RbVSeBr2
_chemical_formula_sum 'Rb1 V1 Se1 Br2'
_cell_length_a 5.4486
_cell_length_b 5.4486
_cell_length_c 4.8320
_cell_angle_alpha 90.00
_cell_angle_beta 90.00
_cell_angle_gamma 90.00
_symmetry_space_group_name_H-M 'P 4/m m m'
_symmetry_Int_Tables_number 123
_symmetry_space_group_name_Hall '-P 4 2'
loop_
_atom_site_label
_atom_site_type_symbol
_atom_site_fract_x
_atom_site_fract_y
_atom_site_fract_z
Rb1 Rb 0.0000 0.0000 0.0000
V1 V 0.5000 0.5000 0.5000
Se1 Se 0.5000 0.5000 0.0000
Br1 Br 0.0000 0.5000 0.5000

---

# 6
# Pr3AgHg3 (PBE, relaxed)
# formation energy from the elements = -288 meV/atom
data_Pr3AgHg3
_chemical_formula_sum 'Pr12 Ag4 Hg12'
_cell_length_a 10.5468
_cell_length_b 10.2646
_cell_length_c 7.4471
_cell_angle_alpha 90.00
_cell_angle_beta 90.91
_cell_angle_gamma 90.00
_symmetry_space_group_name_H-M 'C 1 2/m 1'
_symmetry_Int_Tables_number 12
_symmetry_space_group_name_Hall '-C 2y'
loop_
_atom_site_label
_atom_site_type_symbol
_atom_site_fract_x
_atom_site_fract_y
_atom_site_fract_z
Pr1 Pr 0.0769 0.0000 0.2623
Pr2 Pr 0.2460 0.1930 0.7479
Ag1 Ag 0.1411 0.5000 0.5504
Hg1 Hg 0.0000 0.2421 0.0000
Hg2 Hg 0.0000 0.2561 0.5000
Hg3 Hg 0.1490 0.5000 0.9341

---

# 7
# Y2MgPb4 (PBE, relaxed)
# formation energy from the elements = -134 meV/atom
data_Y2MgPb4
_chemical_formula_sum 'Y4 Mg2 Pb8'
_cell_length_a 19.4533
_cell_length_b 3.6521
_cell_length_c 6.3818
_cell_angle_alpha 90.00
_cell_angle_beta 108.33
_cell_angle_gamma 90.00
_symmetry_space_group_name_H-M 'C 1 2/m 1'
_symmetry_Int_Tables_number 12
_symmetry_space_group_name_Hall '-C 2y'
loop_
_atom_site_label
_atom_site_type_symbol
_atom_site_fract_x
_atom_site_fract_y
_atom_site_fract_z
Y1 Y 0.2437 0.0000 0.2441
Mg1 Mg 0.0000 0.0000 0.0000
Pb1 Pb 0.1091 0.5000 0.3238
Pb2 Pb 0.1133 0.0000 0.7662

---

# 8
# ScAl7Au3 (PBE, relaxed)
# formation energy from the elements = -458 meV/atom
data_ScAl7Au3
_chemical_formula_sum 'Sc6 Al42 Au18'
_cell_length_a 8.0226
_cell_length_b 8.0226
_cell_length_c 21.0202
_cell_angle_alpha 90.00
_cell_angle_beta 90.00
_cell_angle_gamma 120.00
_symmetry_space_group_name_H-M 'R -3 c'
_symmetry_Int_Tables_number 167
_symmetry_space_group_name_Hall '-R 3 2"c'
loop_
_atom_site_label
_atom_site_type_symbol
_atom_site_fract_x
_atom_site_fract_y
_atom_site_fract_z
Sc1 Sc 0.0000 0.0000 0.0000
Al1 Al 0.0000 0.0000 0.2500
Al2 Al 0.0110 0.2085 0.1367
Au1 Au 0.0000 0.3256 0.2500

---

Across the entries above, mass density takes the values 4.22 3.78 7.73 6.95 4.34 9.33 7.95 7.01 Mg/m³, respectively.
Across the entries above, total magnetization takes the values 0.00 0.00 0.00 0.00 2.00 0.00 0.00 0.00 μB/f.u., respectively.
Across the entries above, E_tot takes the values -6.248 -3.494 -5.196 -2.993 -4.343 -2.873 -4.328 -4.309 eV per atom, respectively.